Record 1
Material: Dy6Tm3ZrSc2
Method: DFT, PBE
State: relaxed

Unit cell a=5.9746 b=5.9746 c=11.3961 alpha=95.00 beta=95.00 gamma=119.93
With the nearest neighbours (Å) after each atom.
Positions (direct):
Dy 0.9195 0.5896 0.7593  1 Zr 3.34, 2 Sc 3.36, 6 Dy 3.41-3.47, 3 Tm 3.52-3.54
Dy 0.7507 0.7507 0.2400  1 Zr 3.34, 2 Sc 3.36, 6 Dy 3.41-3.47, 3 Tm 3.53-3.55
Dy 0.0805 0.4104 0.2407  1 Zr 3.34, 2 Sc 3.36, 6 Dy 3.41-3.47, 3 Tm 3.52-3.54
Dy 0.5896 0.9195 0.7593  1 Zr 3.34, 2 Sc 3.36, 6 Dy 3.41-3.47, 3 Tm 3.52-3.54
Dy 0.2493 0.2493 0.7600  1 Zr 3.34, 2 Sc 3.36, 6 Dy 3.41-3.47, 3 Tm 3.53-3.55
Dy 0.4104 0.0805 0.2407  1 Zr 3.34, 2 Sc 3.36, 6 Dy 3.41-3.47, 3 Tm 3.52-3.54
Tm 0.1667 0.8333 0.5000  6 Tm 3.45, 6 Dy 3.52-3.54
Tm 0.8333 0.1667 0.5000  6 Tm 3.45, 6 Dy 3.52-3.54
Tm 0.5000 0.5000 0.5000  6 Tm 3.45, 6 Dy 3.52-3.55
Zr 0.0000 0.0000 0.0000  6 Dy 3.34, 6 Sc 3.45
Sc 0.3331 0.6669 0.0000  6 Dy 3.36, 3 Zr 3.45, 3 Sc 3.45
Sc 0.6669 0.3331 0.0000  6 Dy 3.36, 3 Zr 3.45, 3 Sc 3.45

Calculated values
Energy of formation ... 0.055 eV per atom
Space group ... C2/m (12)
N(E_F) ... 1.36 states/eV per atom
E_tot ... -5.13 eV/atom



Record 2
Material: PuCoRuRh
Method: DFT, PBE
State: relaxed

Unit cell a=4.4859 b=4.4859 c=4.4859 alpha=60.00 beta=60.00 gamma=60.00
With the nearest neighbours (Å) after each atom.
Positions (direct):
Ru 0.2500 0.2500 0.2500  4 Co 2.75, 4 Pu 2.75
Co 0.0000 0.0000 0.0000  4 Rh 2.75, 4 Ru 2.75
Rh 0.7500 0.7500 0.7500  4 Pu 2.75, 4 Co 2.75
Pu 0.5000 0.5000 0.5000  4 Ru 2.75, 4 Rh 2.75

Calculated values
Energy of formation ... 0.023 eV per atom
Space group ... F-43m (216)
N(E_F) ... 2.00 states/eV per atom
E_tot ... -9.49 eV/atom



Record 3
Material: BaNaTa2Si
Method: DFT, PBE
State: relaxed

Unit cell a=5.2613 b=5.5928 c=5.2613 alpha=90.00 beta=90.00 gamma=90.00
With the nearest neighbours (Å) after each atom.
Positions (direct):
Na 0.5000 0.5000 0.5000  4 Si 3.72, 8 Ta 3.84
Si 0.0000 0.5000 0.0000  2 Ba 2.80
Ba 0.0000 0.0000 0.0000  4 Ta 2.63, 2 Si 2.80
Ta 0.0000 0.0000 0.5000  2 Ba 2.63
Ta 0.5000 0.0000 0.0000  2 Ba 2.63

Calculated values
Formation energy (no corrections) ... 2.578 eV per atom
Space group ... P4/mmm (123)
N(E_F) ... 1.73 states/eV per atom
E_tot ... -3.90 eV/atom



Record 4
Material: KLiNi2
Method: DFT, PBE
State: relaxed

Unit cell a=3.7922 b=3.7747 c=4.6640 alpha=90.00 beta=90.00 gamma=90.00
With the nearest neighbours (Å) after each atom.
Positions (direct):
K 0.5000 0.0000 0.5000  4 Li 2.68
Li 0.0000 0.5000 0.5000  4 K 2.68
Ni 0.0000 0.0000 0.0000  4 Ni 2.68
Ni 0.5000 0.5000 0.0000  4 Ni 2.68

Calculated values
Energy of formation ... 0.737 eV per atom
Space group ... Pmmm (47)
Offset from the most stable computed form ... 378.7 meV per atom
N(E_F) ... 1.40 states/eV per atom
E_tot ... -2.91 eV/atom



Please write out number 4 again, unchanged.
Material: KLiNi2
Method: DFT, PBE
State: relaxed

Unit cell a=3.7922 b=3.7747 c=4.6640 alpha=90.00 beta=90.00 gamma=90.00
With the nearest neighbours (Å) after each atom.
Positions (direct):
K 0.5000 0.0000 0.5000  4 Li 2.68
Li 0.0000 0.5000 0.5000  4 K 2.68
Ni 0.0000 0.0000 0.0000  4 Ni 2.68
Ni 0.5000 0.5000 0.0000  4 Ni 2.68

Calculated values
Energy of formation ... 0.737 eV per atom
Space group ... Pmmm (47)
Offset from the most stable computed form ... 378.7 meV per atom
N(E_F) ... 1.40 states/eV per atom
E_tot ... -2.91 eV/atom



Look up the N(E_F) of the fourth one. 1.40 states/eV per atom



Which formula does entry 4 have? KLiNi2



Please write out number 3 again, unchanged.
Material: BaNaTa2Si
Method: DFT, PBE
State: relaxed

Unit cell a=5.2613 b=5.5928 c=5.2613 alpha=90.00 beta=90.00 gamma=90.00
With the nearest neighbours (Å) after each atom.
Positions (direct):
Na 0.5000 0.5000 0.5000  4 Si 3.72, 8 Ta 3.84
Si 0.0000 0.5000 0.0000  2 Ba 2.80
Ba 0.0000 0.0000 0.0000  4 Ta 2.63, 2 Si 2.80
Ta 0.0000 0.0000 0.5000  2 Ba 2.63
Ta 0.5000 0.0000 0.0000  2 Ba 2.63

Calculated values
Formation energy (no corrections) ... 2.578 eV per atom
Space group ... P4/mmm (123)
N(E_F) ... 1.73 states/eV per atom
E_tot ... -3.90 eV/atom